Material: AcPmYPu
Method: DFT, PBE
State: relaxed

```
4
Lattice="-0.1199 -5.7485 -0.9161 3.7882 -3.4652 2.7462 -1.8476 -3.5798 4.2036" Properties=species:S:1:pos:R:3 pbc="T T T"
Ac 1.3655 -9.5952 4.5253
Pu 0.9103 -6.3968 3.0169
Pm 0.0000 0.0000 0.0000
Y 0.4552 -3.1984 1.5084
```

Values from the calculation:
electronic total energy = -28.645 eV/cell
volume = 34.891 Å³ per atom